(1)
Entry from the Alexandria database: a relaxed YTc2Ni crystal (GGA-PBEsol).

Calculated values
Space group ... F-43m (216)
Energy above the lowest structure with this stoichiometry ... 0.000 eV per atom
ρ ... 9.3 g/cm³
M_tot ... 0.000 μB per atom

Cell lengths 4.434, 4.434, 4.434 Å; angles 60.00, 60.00, 60.00 degrees
Element x y z (fractional)
1 Ni 0.250 0.250 0.250
2 Tc 0.000 0.000 0.000
3 Tc 0.750 0.750 0.750
4 Y 0.500 0.500 0.500


(2)
Entry from the Alexandria database: a relaxed ZnTcNi6 crystal (GGA-PBEsol).

Calculated values
Space group ... Cmmm (65)
VASP energy ... -6.291 eV per atom
ρ ... 9.7 g/cm³
M_tot ... 0.039 μB per atom

Cell lengths 6.119, 6.119, 10.000 Å; angles 90.00, 90.00, 109.43 degrees
Element x y z (fractional)
1 Ni 0.124 0.372 0.874
2 Ni 0.500 0.500 0.500
3 Ni 0.878 0.626 0.624
4 Ni 0.124 0.372 0.126
5 Ni 0.122 0.374 0.376
6 Ni 0.626 0.878 0.376
7 Ni 0.752 0.248 0.253
8 Ni 0.248 0.752 0.747
9 Ni 0.752 0.248 0.747
10 Ni 0.628 0.876 0.874
11 Ni 0.000 0.000 0.000
12 Ni 0.500 0.500 0.000
13 Ni 0.626 0.878 0.624
14 Ni 0.000 0.000 0.500
15 Ni 0.876 0.628 0.874
16 Ni 0.878 0.626 0.376
17 Ni 0.248 0.752 0.253
18 Ni 0.372 0.124 0.874
19 Ni 0.876 0.628 0.126
20 Ni 0.122 0.374 0.624
21 Ni 0.374 0.122 0.376
22 Ni 0.374 0.122 0.624
23 Ni 0.372 0.124 0.126
24 Ni 0.628 0.876 0.126
25 Zn 0.750 0.250 0.000
26 Zn 0.250 0.750 0.000
27 Zn 0.500 0.500 0.752
28 Zn 0.500 0.500 0.248
29 Tc 0.000 0.000 0.243
30 Tc 0.751 0.249 0.500
31 Tc 0.249 0.751 0.500
32 Tc 0.000 0.000 0.757


(3)
Entry from the Alexandria database: a relaxed ZnTc2Ni crystal (GGA-PBEsol).

Calculated values
Space group ... I4/mmm (139)
VASP energy ... -7.505 eV per atom
ρ ... 10.4 g/cm³
M_tot ... 0.000 μB per atom

Cell lengths 3.571, 3.571, 4.751 Å; angles 112.07, 112.07, 90.00 degrees
Element x y z (fractional)
1 Zn 0.500 0.500 0.000
2 Tc 0.750 0.250 0.500
3 Tc 0.250 0.750 0.500
4 Ni 0.000 0.000 0.000


(4)
Entry from the Alexandria database: a relaxed Zn3TcNi crystal (GGA-PBEsol).

Calculated values
Space group ... Pm-3m (221)
VASP energy ... -3.611 eV per atom
ρ ... 7.4 g/cm³
M_tot ... 0.384 μB per atom

Cell lengths 4.292, 4.292, 4.292 Å; angles 90.00, 90.00, 90.00 degrees
Element x y z (fractional)
1 Zn 0.000 0.500 0.000
2 Zn 0.500 0.000 0.000
3 Zn 0.000 0.000 0.500
4 Tc 0.500 0.500 0.500
5 Ni 0.000 0.000 0.000


(5)
Entry from the Alexandria database: a relaxed ZrTcNi crystal (GGA-PBEsol).

Calculated values
Space group ... F-43m (216)
Energy above the lowest structure with this stoichiometry ... 0.283 eV per atom
ρ ... 8.2 g/cm³
M_tot ... 0.012 μB per atom

Cell lengths 4.140, 4.140, 4.140 Å; angles 60.00, 60.00, 60.00 degrees
Element x y z (fractional)
1 Ni 0.250 0.250 0.250
2 Tc 0.000 0.000 0.000
3 Zr 0.500 0.500 0.500


(6)
Entry from the Alexandria database: a relaxed ZrTc2Ni crystal (GGA-PBEsol).

Calculated values
Space group ... R3m (160)
Energy above the lowest structure with this stoichiometry ... 0.133 eV per atom
ρ ... 9.7 g/cm³
M_tot ... 0.000 μB per atom

Cell lengths 2.761, 2.761, 9.088 Å; angles 81.26, 81.26, 60.00 degrees
Element x y z (fractional)
1 Ni 0.255 0.255 0.235
2 Zr 0.504 0.504 0.487
3 Tc 0.999 0.999 0.004
4 Tc 0.742 0.742 0.774


(7)
Entry from the Alexandria database: a relaxed ZrTcNi crystal (GGA-PBEsol).

Calculated values
Space group ... Fmm2 (42)
Energy above the lowest structure with this stoichiometry ... 0.000 eV per atom
ρ ... 9.2 g/cm³
M_tot ... 0.000 μB per atom

Cell lengths 2.726, 2.726, 6.292 Å; angles 102.45, 102.45, 90.28 degrees
Element x y z (fractional)
1 Tc 0.647 0.647 0.295
2 Ni 0.013 0.013 0.025
3 Zr 0.340 0.340 0.680


(8)
Entry from the Alexandria database: a relaxed ZrTc2Ni crystal (GGA-PBEsol).

Calculated values
Space group ... P4/mmm (123)
Energy above the lowest structure with this stoichiometry ... 0.000 eV per atom
ρ ... 9.6 g/cm³
M_tot ... 0.000 μB per atom

Cell lengths 3.190, 3.190, 5.854 Å; angles 90.00, 90.00, 90.00 degrees
Element x y z (fractional)
1 Tc 0.000 0.000 0.707
2 Tc 0.000 0.000 0.293
3 Zr 0.500 0.500 0.000
4 Ni 0.500 0.500 0.500


(9)
Entry from the Alexandria database: a relaxed NiTe2 crystal (GGA-PBEsol).

Calculated values
Space group ... P-3m1 (164)
ρ ... 8.0 g/cm³
ΔE_f (raw) ... -263 meV/atom
M_tot ... 0.000 μB per atom

Cell lengths 3.828, 3.828, 5.132 Å; angles 90.00, 90.00, 120.00 degrees
Element x y z (fractional)
1 Te 0.667 0.333 0.747
2 Te 0.333 0.667 0.253
3 Ni 0.000 0.000 0.000


(10)
Entry from the Alexandria database: a relaxed NiTe2 crystal (GGA-PBEsol).

Calculated values
Space group ... P4/mmm (123)
ρ ... 7.8 g/cm³
ΔE_f (raw) ... 183 meV/atom
M_tot ... 0.000 μB per atom

Cell lengths 3.441, 4.415, 4.415 Å; angles 90.00, 90.00, 90.00 degrees
Element x y z (fractional)
1 Te 0.500 0.000 0.500
2 Te 0.500 0.500 0.000
3 Ni 0.000 0.000 0.000


(11)
Entry from the Alexandria database: a relaxed Ni5Te crystal (GGA-PBEsol).

Calculated values
Space group ... C2/m (12)
Energy above the lowest structure with this stoichiometry ... 0.007 eV per atom
ρ ... 9.9 g/cm³
ΔE_f (raw) ... -15 meV/atom
M_tot ... 0.001 μB per atom

Cell lengths 3.635, 4.386, 5.125 Å; angles 106.89, 90.00, 114.48 degrees
Element x y z (fractional)
1 Ni 0.500 0.000 0.000
2 Ni 0.834 0.668 0.680
3 Ni 0.171 0.343 0.845
4 Ni 0.166 0.332 0.320
5 Ni 0.829 0.657 0.155
6 Te 0.500 0.000 0.500


(12)
Entry from the Alexandria database: a relaxed NiTe crystal (GGA-PBEsol).

Calculated values
Space group ... P-3m1 (164)
ρ ... 7.3 g/cm³
ΔE_f (raw) ... -158 meV/atom
M_tot ... 0.000 μB per atom

Cell lengths 3.734, 3.734, 7.025 Å; angles 90.00, 90.00, 120.00 degrees
Element x y z (fractional)
1 Te 0.333 0.667 0.734
2 Te 0.667 0.333 0.266
3 Ni 0.667 0.333 0.905
4 Ni 0.333 0.667 0.095


(13)
Entry from the Alexandria database: a relaxed Ni8Te crystal (GGA-PBEsol).

Calculated values
Space group ... I4/mmm (139)
ρ ... 9.8 g/cm³
ΔE_f (raw) ... 2 meV/atom
M_tot ... 0.194 μB per atom

Cell lengths 3.588, 5.610, 5.610 Å; angles 84.13, 71.35, 71.35 degrees
Element x y z (fractional)
1 Ni 0.340 0.660 0.660
2 Ni 0.000 0.660 0.340
3 Ni 0.000 0.340 0.660
4 Ni 0.660 0.340 0.340
5 Ni 0.672 0.000 0.655
6 Ni 0.672 0.655 0.000
7 Ni 0.328 0.000 0.345
8 Ni 0.328 0.345 0.000
9 Te 0.000 0.000 0.000


(14)
Entry from the Alexandria database: a relaxed NiTe2 crystal (GGA-PBEsol).

Calculated values
Space group ... Pa-3 (205)
ρ ... 8.3 g/cm³
ΔE_f (raw) ... -231 meV/atom
M_tot ... 0.000 μB per atom

Cell lengths 6.299, 6.299, 6.299 Å; angles 90.00, 90.00, 90.00 degrees
Element x y z (fractional)
1 Te 0.637 0.637 0.637
2 Te 0.137 0.637 0.863
3 Te 0.363 0.363 0.363
4 Te 0.637 0.863 0.137
5 Te 0.863 0.137 0.637
6 Te 0.137 0.863 0.363
7 Te 0.863 0.363 0.137
8 Te 0.363 0.137 0.863
9 Ni 0.000 0.000 0.000
10 Ni 0.500 0.500 0.000
11 Ni 0.000 0.500 0.500
12 Ni 0.500 0.000 0.500


(15)
Entry from the Alexandria database: a relaxed NiTe crystal (GGA-PBEsol).

Calculated values
Space group ... P6_3/mmc (194)
ρ ... 8.8 g/cm³
ΔE_f (raw) ... -229 meV/atom
M_tot ... 0.000 μB per atom

Cell lengths 3.967, 3.967, 5.179 Å; angles 90.00, 90.00, 120.00 degrees
Element x y z (fractional)
1 Ni 0.000 0.000 0.000
2 Ni 0.000 0.000 0.500
3 Te 0.667 0.333 0.250
4 Te 0.333 0.667 0.750


(16)
Entry from the Alexandria database: a relaxed NiTe2 crystal (GGA-PBEsol).

Calculated values
Space group ... Immm (71)
ρ ... 8.1 g/cm³
ΔE_f (raw) ... 160 meV/atom
M_tot ... 0.000 μB per atom

Cell lengths 3.046, 3.397, 6.657 Å; angles 104.78, 103.22, 90.00 degrees
Element x y z (fractional)
1 Ni 0.000 0.000 0.000
2 Te 0.628 0.628 0.255
3 Te 0.372 0.372 0.745


(17)
Entry from the Alexandria database: a relaxed NiTe crystal (GGA-PBEsol).

Calculated values
Space group ... Cmcm (63)
ρ ... 8.3 g/cm³
ΔE_f (raw) ... -177 meV/atom
M_tot ... 0.000 μB per atom

Cell lengths 4.219, 4.218, 4.470 Å; angles 90.00, 90.00, 109.54 degrees
Element x y z (fractional)
1 Te 0.228 0.273 0.750
2 Te 0.772 0.727 0.250
3 Ni 0.596 0.905 0.750
4 Ni 0.404 0.095 0.250


(18)
Entry from the Alexandria database: a relaxed NiTe2 crystal (GGA-PBEsol).

Calculated values
Space group ... Cmcm (63)
ρ ... 7.8 g/cm³
ΔE_f (raw) ... -194 meV/atom
M_tot ... 0.000 μB per atom

Cell lengths 3.820, 5.460, 6.698 Å; angles 90.00, 106.57, 90.00 degrees
Element x y z (fractional)
1 Te 0.546 0.250 0.093
2 Te 0.454 0.750 0.907
3 Te 0.197 0.750 0.394
4 Te 0.803 0.250 0.606
5 Ni 0.173 0.250 0.345
6 Ni 0.827 0.750 0.655


(19)
Entry from the Alexandria database: a relaxed Ni2Te3 crystal (GGA-PBEsol).

Calculated values
Space group ... P-3m1 (164)
ρ ... 8.1 g/cm³
ΔE_f (raw) ... -158 meV/atom
M_tot ... 0.000 μB per atom

Cell lengths 3.649, 3.649, 8.939 Å; angles 90.00, 90.00, 120.00 degrees
Element x y z (fractional)
1 Te 0.667 0.333 0.665
2 Te 0.333 0.667 0.335
3 Te 0.000 0.000 0.000
4 Ni 0.667 0.333 0.185
5 Ni 0.333 0.667 0.815


(20)
Entry from the Alexandria database: a relaxed Ni5Te crystal (GGA-PBEsol).

Calculated values
Space group ... P-62m (189)
Energy above the lowest structure with this stoichiometry ... 0.000 eV per atom
ρ ... 9.9 g/cm³
ΔE_f (raw) ... -21 meV/atom
M_tot ... 0.000 μB per atom

Cell lengths 4.138, 4.432, 4.432 Å; angles 120.00, 90.00, 90.00 degrees
Element x y z (fractional)
1 Ni 0.000 0.348 0.348
2 Ni 0.000 0.000 0.652
3 Ni 0.500 0.333 0.667
4 Ni 0.500 0.667 0.333
5 Ni 0.000 0.652 0.000
6 Te 0.500 0.000 0.000


(21)
Entry from the Alexandria database: a relaxed NiTe crystal (GGA-PBEsol).

Calculated values
Space group ... R-3m (166)
ρ ... 8.1 g/cm³
ΔE_f (raw) ... -170 meV/atom
M_tot ... 0.000 μB per atom

Cell lengths 3.784, 3.784, 6.519 Å; angles 73.13, 73.13, 60.00 degrees
Element x y z (fractional)
1 Te 0.908 0.908 0.275
2 Te 0.092 0.092 0.725
3 Ni 0.362 0.362 0.914
4 Ni 0.638 0.638 0.086


(22)
Entry from the Alexandria database: a relaxed Ni2Te crystal (GGA-PBEsol).

Calculated values
Space group ... C2/m (12)
ρ ... 8.2 g/cm³
ΔE_f (raw) ... -156 meV/atom
M_tot ... 0.000 μB per atom

Cell lengths 3.986, 3.964, 7.250 Å; angles 90.62, 90.00, 120.18 degrees
Element x y z (fractional)
1 Ni 0.333 0.666 0.558
2 Ni 0.000 0.000 0.665
3 Ni 0.000 0.000 0.335
4 Ni 0.667 0.334 0.442
5 Te 0.667 0.335 0.794
6 Te 0.333 0.665 0.206


(23)
Entry from the Alexandria database: a relaxed NiTe crystal (GGA-PBEsol).

Calculated values
Space group ... Pm-3m (221)
ρ ... 9.0 g/cm³
ΔE_f (raw) ... 236 meV/atom
M_tot ... 0.000 μB per atom

Cell lengths 3.250, 3.250, 3.250 Å; angles 90.00, 90.00, 90.00 degrees
Element x y z (fractional)
1 Te 0.500 0.500 0.500
2 Ni 0.000 0.000 0.000


(24)
Entry from the Alexandria database: a relaxed Ni3Te2 crystal (GGA-PBEsol).

Calculated values
Space group ... P2_1/m (11)
ρ ... 8.6 g/cm³
ΔE_f (raw) ... -205 meV/atom
M_tot ... 0.000 μB per atom

Cell lengths 3.739, 6.007, 7.409 Å; angles 91.83, 90.00, 90.00 degrees
Element x y z (fractional)
1 Ni 0.750 0.005 0.122
2 Ni 0.250 0.995 0.878
3 Ni 0.250 0.008 0.370
4 Ni 0.750 0.992 0.630
5 Ni 0.250 0.290 0.636
6 Ni 0.750 0.710 0.364
7 Te 0.750 0.288 0.382
8 Te 0.250 0.715 0.117
9 Te 0.750 0.285 0.883
10 Te 0.250 0.712 0.618


(25)
Entry from the Alexandria database: a relaxed TlNi2Te crystal (GGA-PBEsol).

Calculated values
Space group ... P4mm (99)
ρ ... 10.1 g/cm³
ΔE_f (raw) ... 106 meV/atom
M_tot ... 0.000 μB per atom

Cell lengths 3.277, 3.277, 6.875 Å; angles 90.00, 90.00, 90.00 degrees
Element x y z (fractional)
1 Ni 0.500 0.500 0.229
2 Ni 0.000 0.000 0.041
3 Te 0.000 0.000 0.397
4 Tl 0.500 0.500 0.833


(26)
Entry from the Alexandria database: a relaxed NiTeW2 crystal (GGA-PBEsol).

Calculated values
Space group ... F-43m (216)
ρ ... 14.5 g/cm³
ΔE_f (raw) ... 716 meV/atom
M_tot ... 0.000 μB per atom

Cell lengths 4.473, 4.473, 4.473 Å; angles 60.00, 60.00, 60.00 degrees
Element x y z (fractional)
1 Ni 0.500 0.500 0.500
2 W 0.000 0.000 0.000
3 W 0.250 0.250 0.250
4 Te 0.750 0.750 0.750


(27)
Entry from the Alexandria database: a relaxed YNiTe3 crystal (GGA-PBEsol).

Calculated values
Space group ... Pm-3m (221)
Energy above the lowest structure with this stoichiometry ... 0.930 eV per atom
ρ ... 4.7 g/cm³
ΔE_f (raw) ... 588 meV/atom
M_tot ... 0.292 μB per atom

Cell lengths 5.707, 5.707, 5.707 Å; angles 90.00, 90.00, 90.00 degrees
Element x y z (fractional)
1 Ni 0.500 0.500 0.500
2 Te 0.000 0.000 0.500
3 Te 0.500 0.000 0.000
4 Te 0.000 0.500 0.000
5 Y 0.000 0.000 0.000


(28)
Entry from the Alexandria database: a relaxed YNiTe3 crystal (GGA-PBEsol).

Calculated values
Space group ... Pm-3m (221)
Energy above the lowest structure with this stoichiometry ... 0.000 eV per atom
ρ ... 6.9 g/cm³
ΔE_f (raw) ... -342 meV/atom
M_tot ... 0.000 μB per atom

Cell lengths 5.027, 5.027, 5.027 Å; angles 90.00, 90.00, 90.00 degrees
Element x y z (fractional)
1 Te 0.500 0.000 0.000
2 Te 0.000 0.500 0.000
3 Te 0.000 0.000 0.500
4 Y 0.500 0.500 0.500
5 Ni 0.000 0.000 0.000